(1)
Computed, not measured: an optimized crystal structure of BaY2Cd at the PBE level of DFT.

* volume: 32.9 Å³/atom
* size of the total moment: 0.00 Bohr magnetons per cell
* formation enthalpy at 0 K: 0.17 eV/atom

Cell: 5.8728 5.8728 3.9231 Å, 90.00 90.00 103.20°
Element x y z (fractional)
Y 0.0000 0.0000 0.0000
Y 0.5000 0.5000 0.0000
Cd 0.0000 0.5000 0.5000
Ba 0.5000 0.0000 0.5000

---

(2)
Computed, not measured: an optimized crystal structure of Ac6SnPd2 at the PBE level of DFT.

* volume: 35.7 Å³/atom
* size of the total moment: 0.00 Bohr magnetons per cell
* formation enthalpy at 0 K: -0.50 eV/atom

Cell: 9.4404 9.4404 9.4404 Å, 105.43 108.08 115.06°
Element x y z (fractional)
Pd 0.5000 0.3721 0.8721
Ac 0.1960 0.2303 0.4263
Pd 0.5000 0.6279 0.1279
Ac 0.6938 0.0227 0.3289
Pd 0.3537 0.0000 0.3537
Ac 0.8040 0.7697 0.5737
Sn 0.0000 0.0000 0.0000
Ac 0.4691 0.2906 0.1785
Ac 0.1121 0.2906 0.8215
Ac 0.5309 0.7094 0.8215
Pd 0.6463 0.0000 0.6463
Sn 0.0000 0.5000 0.5000
Ac 0.3062 0.6351 0.3289
Ac 0.3062 0.9773 0.6711
Ac 0.8879 0.7094 0.1785
Ac 0.6938 0.3649 0.6711
Ac 0.1960 0.7697 0.9657
Ac 0.8040 0.2303 0.0343

---

(3)
Computed, not measured: an optimized crystal structure of CrCu2W at the PBE level of DFT.

* distance to the lowest polymorph of the same formula: 109 meV/atom
* volume: 13.0 Å³/atom
* size of the total moment: 0.43 Bohr magnetons per cell
* formation enthalpy at 0 K: 0.36 eV/atom

Cell: 4.0657 2.5538 5.6664 Å, 62.31 90.00 90.00°
Last column: magnetic moment on the atom in μB.
Element x y z (fractional)
Cu 0.0000 0.4917 0.5055  0.02
Cr 0.5000 0.7500 0.7500  0.41
Cu 0.0000 0.0083 0.9945  0.02
W 0.5000 0.2500 0.2500  -0.04

---

(4)
Computed, not measured: an optimized crystal structure of NaInP2Ir at the PBE level of DFT.

* distance to the lowest polymorph of the same formula: 0 meV/atom
* volume: 25.8 Å³/atom
* size of the total moment: 0.00 Bohr magnetons per cell
* formation enthalpy at 0 K: 1.15 eV/atom

Cell: 5.0554 5.0485 5.0554 Å, 90.00 90.00 90.00°
Element x y z (fractional)
Na 0.5000 0.5000 0.5000
In 0.0000 0.0000 0.0000
Ir 0.0000 0.5000 0.0000
P 0.0000 0.0000 0.5000
P 0.5000 0.0000 0.0000

---

(5)
Computed, not measured: an optimized crystal structure of La2NdTh at the PBE level of DFT.

* distance to the lowest polymorph of the same formula: 0 meV/atom
* volume: 34.7 Å³/atom
* size of the total moment: 0.00 Bohr magnetons per cell
* formation enthalpy at 0 K: 0.01 eV/atom

Cell: 3.6682 3.6682 23.8464 Å, 90.00 90.00 120.00°
Element x y z (fractional)
La 0.6667 0.3333 0.8784
Th 0.0000 0.0000 0.5000
Nd 0.3333 0.6667 0.7500
Th 0.0000 0.0000 0.0000
La 0.3333 0.6667 0.3784
Nd 0.6667 0.3333 0.2500
La 0.6667 0.3333 0.6216
La 0.3333 0.6667 0.1216

---

(6)
Computed, not measured: an optimized crystal structure of CrOs3 at the PBE level of DFT.

* volume: 14.2 Å³/atom
* size of the total moment: 0.91 Bohr magnetons per cell
* formation enthalpy at 0 K: 0.60 eV/atom

Cell: 2.6729 5.0381 5.0381 Å, 116.94 79.81 79.81°
Last column: magnetic moment on the atom in μB.
Element x y z (fractional)
Os 0.0000 0.5000 0.5000  -0.20
Os 0.5000 0.5000 0.0000  -0.20
Os 0.5000 0.0000 0.5000  -0.20
Cr 0.0000 0.0000 0.0000  1.45